LaDyEr2 | Alexandria via LeMat-Bulk | PBE | optimized geometry; calculated total energy = -0.1701 hartree per atom; distance to the lowest polymorph of the same formula = 0.024 eV/atom; magnetic moment = 0.00 μB/f.u.; energy of formation from the pure elements = 0.04 eV per atom
1.0
-3.2881 3.6779 -1.0272
-3.2815 -2.0089 3.3110
2.0071 2.8294 3.7058
Er Dy La
2 1 1
Direct
0.0000 0.5000 0.0000
0.0000 0.0000 0.5000
0.5000 0.5000 0.5000
0.5000 0.0000 0.0000

MoIr6Rh8 | Alexandria via LeMat-Bulk | PBE | optimized geometry; calculated total energy = -0.2904 hartree per atom; magnetic moment = 0.00 μB/f.u.; energy of formation from the pure elements = 0.29 eV per atom
1.0
-3.6109 6.1911 0.8045
-3.9548 2.6013 -5.4413
-6.6877 0.2728 0.2114
Ir Rh Mo
6 8 1
Direct
0.6341 0.9198 0.1138
0.9198 0.3324 0.1138
0.3659 0.0802 0.8862
0.6676 0.3659 0.8862
0.0802 0.6676 0.8862
0.3324 0.6341 0.1138
0.1694 0.8555 0.3918
0.8555 0.5832 0.3918
0.1445 0.4168 0.6082
0.7415 0.7415 0.7754
0.2585 0.2585 0.2246
0.8306 0.1445 0.6082
0.5832 0.1694 0.3918
0.4168 0.8306 0.6082
0.0000 0.0000 0.0000

AgPd | Alexandria via LeMat-Bulk | PBE | optimized geometry; calculated total energy = -0.1201 hartree per atom; magnetic moment = 0.00 μB/f.u.; energy of formation from the pure elements = 0.75 eV per atom
1.0
4.5735 0.0000 0.0000
-2.2868 3.9608 0.0000
0.0000 0.0000 5.3548
Pd Ag
2 2
Direct
0.3333 0.6667 0.2500
0.6667 0.3333 0.7500
0.6667 0.3333 0.2500
0.3333 0.6667 0.7500

TbNd7Y12 | Alexandria via LeMat-Bulk | PBE | optimized geometry; calculated total energy = -0.1893 hartree per atom; distance to the lowest polymorph of the same formula = 0.396 eV/atom; magnetic moment = 0.00 μB/f.u.; energy of formation from the pure elements = 0.63 eV per atom
1.0
-9.0804 0.3265 -3.7640
2.6686 -9.3743 1.3152
0.1367 4.6911 8.6431
Nd Tb Y
7 1 12
Direct
0.5000 0.0000 0.5000
0.5000 0.5000 0.5000
0.0000 0.5000 0.5000
0.0000 0.0000 0.5000
0.5000 0.0000 0.0000
0.5000 0.5000 0.0000
0.0000 0.5000 0.0000
0.0000 0.0000 0.0000
0.2478 0.2474 0.4952
0.2478 0.7526 0.0004
0.7526 0.5048 0.7522
0.7526 0.0004 0.2478
0.2474 0.9996 0.7522
0.0004 0.2478 0.7526
0.9996 0.7522 0.2474
0.5048 0.7522 0.7526
0.2474 0.4952 0.2478
0.7522 0.2474 0.9996
0.4952 0.2478 0.2474
0.7522 0.7526 0.5048

SbSe | Alexandria via LeMat-Bulk | PBE | optimized geometry; calculated total energy = -0.1442 hartree per atom; magnetic moment = 0.00 μB/f.u.; uncorrected formation energy = -0.1209 eV per atom
1.0
8.7735 0.0000 0.0000
0.0000 6.0517 0.0000
0.0000 0.0000 9.3865
Se Sb
8 8
Direct
0.5493 0.0964 0.8928
0.6340 0.6657 0.1893
0.4507 0.5964 0.6072
0.3660 0.1657 0.3107
0.9507 0.9036 0.3928
0.0493 0.4036 0.1072
0.8660 0.3343 0.6893
0.1340 0.8343 0.8107
0.6152 0.3000 0.4611
0.7093 0.9496 0.6615
0.8848 0.7000 0.9611
0.7907 0.0504 0.1615
0.3848 0.8000 0.0389
0.2093 0.5504 0.3385
0.2907 0.4496 0.8385
0.1152 0.2000 0.5389

Fe2SiHg | Alexandria via LeMat-Bulk | PBE | optimized geometry; calculated total energy = -0.1901 hartree per atom; distance to the lowest polymorph of the same formula = 0.413 eV/atom; magnetic moment = 4.67 μB/f.u.; uncorrected formation energy = 0.4909 eV per atom
1.0
4.3409 0.0000 0.0000
2.1705 3.7593 0.0000
2.1705 1.2531 3.5443
Si Hg Fe
1 1 2
Direct
0.7500 0.7500 0.7500
0.5000 0.5000 0.5000
0.0000 0.0000 0.0000
0.2500 0.2500 0.2500

Ca3ZnGe2Au6 | Alexandria via LeMat-Bulk | PBE | optimized geometry; calculated total energy = -0.1268 hartree per atom; magnetic moment = 0.00 μB/f.u.; energy of formation from the pure elements = -0.44 eV per atom
1.0
6.0498 0.0000 0.0000
-3.0249 5.2393 0.0000
0.0000 0.0000 8.5595
Ca Au Ge Zn
3 6 2 1
Direct
0.3333 0.6667 0.6242
0.0000 0.0000 0.0000
0.6667 0.3333 0.3758
0.8278 0.6556 0.7173
0.3444 0.1722 0.7173
0.8278 0.1722 0.7173
0.1722 0.3444 0.2827
0.1722 0.8278 0.2827
0.6556 0.8278 0.2827
0.3333 0.6667 0.0375
0.6667 0.3333 0.9625
0.0000 0.0000 0.5000

DyHoHg2 | Alexandria via LeMat-Bulk | PBE | optimized geometry; calculated total energy = -0.1075 hartree per atom; magnetic moment = 0.00 μB/f.u.; energy of formation from the pure elements = -0.48 eV per atom
1.0
5.2539 0.0000 0.0000
2.6270 4.5500 0.0000
2.6270 1.5167 4.2898
Dy Ho Hg
1 1 2
Direct
0.2500 0.2500 0.2500
0.7500 0.7500 0.7500
0.0000 0.0000 0.0000
0.5000 0.5000 0.5000

VHAu3 | Alexandria via LeMat-Bulk | PBE | optimized geometry; calculated total energy = -0.1165 hartree per atom; distance to the lowest polymorph of the same formula = 0.944 eV/atom; magnetic moment = 2.99 μB/f.u.
1.0
4.9911 0.0000 0.0000
0.0000 4.9911 0.0000
0.0000 0.0000 4.9911
Au H V
3 1 1
Direct
0.0000 0.0000 0.5000
0.0000 0.5000 0.0000
0.5000 0.0000 0.0000
0.5000 0.5000 0.5000
0.0000 0.0000 0.0000

NdLuPd | Alexandria via LeMat-Bulk | PBE | optimized geometry; calculated total energy = -0.1940 hartree per atom; distance to the lowest polymorph of the same formula = 0.092 eV/atom; magnetic moment = 0.00 μB/f.u.; energy of formation from the pure elements = -0.45 eV per atom
1.0
4.9241 0.0000 0.0000
2.4620 4.2644 0.0000
2.4620 1.4215 4.0205
Pd Nd Lu
1 1 1
Direct
0.2500 0.2500 0.2500
0.5000 0.5000 0.5000
0.0000 0.0000 0.0000

V5Mo2Ru | Alexandria via LeMat-Bulk | PBE | optimized geometry; calculated total energy = -0.3556 hartree per atom; magnetic moment = 0.00 μB/f.u.; energy of formation from the pure elements = -0.11 eV per atom
1.0
-1.0753 -3.5614 2.3020
-0.2313 -2.7401 -4.3472
9.7477 -2.3294 0.9495
V Mo Ru
10 4 2
Direct
0.0000 0.3527 0.7516
0.5000 0.8340 0.3849
0.5000 0.1660 0.6151
0.5000 0.3340 0.1151
0.0000 0.1473 0.2516
0.0000 0.0000 0.0000
0.0000 0.6473 0.2484
0.5000 0.6660 0.8849
0.0000 0.5000 0.5000
0.0000 0.8527 0.7484
0.5000 0.8342 0.1287
0.5000 0.1658 0.8713
0.5000 0.6658 0.6287
0.5000 0.3342 0.3713
0.0000 0.5000 0.0000
0.0000 0.0000 0.5000

Mg3Ni | Alexandria via LeMat-Bulk | PBE | optimized geometry; calculated total energy = -0.0957 hartree per atom; magnetic moment = 0.00 μB/f.u.; energy of formation from the pure elements = 0.04 eV per atom
1.0
3.0490 0.0000 0.0000
0.0000 4.6397 0.0000
0.0000 0.0000 5.0552
Mg Ni
3 1
Direct
0.5000 0.5000 0.8468
0.0000 0.5000 0.3164
0.0000 0.0000 0.6715
0.5000 0.0000 0.1653

Ti5ZnGa | Alexandria via LeMat-Bulk | PBE | optimized geometry; calculated total energy = -0.2329 hartree per atom; magnetic moment = 0.00 μB/f.u.; energy of formation from the pure elements = -0.08 eV per atom
1.0
-6.9181 -2.3730 0.0624
4.8889 -5.2084 1.5706
-0.3310 1.0867 4.6340
Ti Ga Zn
10 2 2
Direct
0.9896 0.6318 0.2499
0.0104 0.3682 0.7501
0.2084 0.7916 0.7500
0.7916 0.2084 0.2500
0.3682 0.0104 0.2501
0.6046 0.7821 0.2499
0.2179 0.3954 0.2501
0.7821 0.6046 0.7499
0.6318 0.9896 0.7499
0.3954 0.2179 0.7501
0.5838 0.4162 0.2500
0.4162 0.5838 0.7500
0.0000 0.0000 0.5000
0.0000 0.0000 0.0000

PaTi2Be9 | Alexandria via LeMat-Bulk | PBE | optimized geometry; calculated total energy = -0.1836 hartree per atom; magnetic moment = 0.00 μB/f.u.; energy of formation from the pure elements = -0.09 eV per atom
1.0
-0.0283 -2.3536 -4.0286
6.9072 -2.7575 1.5625
-3.1691 -5.9544 3.5010
Be Ti Pa
18 4 2
Direct
0.5000 0.7845 0.0689
0.2539 0.3284 0.1716
0.7461 0.6716 0.8284
0.5000 0.0000 0.5000
0.7461 0.3284 0.1716
0.5000 0.7155 0.5689
0.2539 0.8284 0.3284
0.5000 0.2155 0.9311
0.7461 0.1716 0.6716
0.5000 0.0689 0.2155
0.5000 0.5000 0.0000
0.2539 0.6716 0.8284
0.5000 0.5689 0.2845
0.7461 0.8284 0.3284
0.5000 0.2845 0.4311
0.5000 0.4311 0.7155
0.5000 0.9311 0.7845
0.2539 0.1716 0.6716
0.0000 0.1273 0.3727
0.0000 0.8727 0.6273
0.0000 0.6273 0.1273
0.0000 0.3727 0.8727
0.0000 0.0000 0.0000
0.0000 0.5000 0.5000

POs7 | Alexandria via LeMat-Bulk | PBE | optimized geometry; calculated total energy = -0.3713 hartree per atom; magnetic moment = 0.00 μB/f.u.; energy of formation from the pure elements = 0.40 eV per atom
1.0
1.4394 0.4036 5.2285
-3.6750 1.4789 3.7255
-1.8251 -3.6335 3.6109
Os P
7 1
Direct
0.5000 0.0000 0.5000
0.5000 0.5000 0.5000
0.0000 0.5000 0.5000
0.5000 0.5000 0.0000
0.5000 0.0000 0.0000
0.0000 0.5000 0.0000
0.0000 0.0000 0.5000
0.0000 0.0000 0.0000

CoBiTe3 | Alexandria via LeMat-Bulk | PBE | optimized geometry; calculated total energy = -0.1408 hartree per atom; distance to the lowest polymorph of the same formula = 0.000 eV/atom; magnetic moment = 0.00 μB/f.u.; uncorrected formation energy = 0.2514 eV per atom
1.0
-0.0713 -1.2440 -4.9230
4.0562 -2.9758 0.6932
-3.0546 -3.9225 1.0354
Te Co Bi
3 1 1
Direct
0.5000 0.0000 0.0000
0.0000 0.0000 0.5000
0.0000 0.5000 0.0000
0.0000 0.0000 0.0000
0.5000 0.5000 0.5000

Cu7SnGe2Au2 | Alexandria via LeMat-Bulk | PBE | optimized geometry; calculated total energy = -0.1454 hartree per atom; magnetic moment = 0.00 μB/f.u.; energy of formation from the pure elements = 0.08 eV per atom
1.0
-0.4259 2.9982 2.4443
-3.5765 -1.2907 0.8294
0.4197 -4.9576 12.3478
Sn Cu Ge Au
1 7 2 2
Direct
0.0000 0.0000 0.0000
0.3409 0.8439 0.1577
0.1561 0.6591 0.8423
0.6591 0.1561 0.8423
0.7411 0.7411 0.5003
0.8439 0.3409 0.1577
0.2589 0.2589 0.4997
0.5000 0.5000 0.0000
0.6776 0.6776 0.3233
0.3224 0.3224 0.6767
0.1865 0.1865 0.3143
0.8135 0.8135 0.6857